4
Lattice="-2.7465 -1.9035 3.7400 -2.8010 -3.9199 1.3939 3.7103 -2.9769 2.4724" Properties=species:S:1:pos:R:3 comment="LiCrCd2 (PBE, relaxed)" dos_ef_per_ev_atom=0.455 e_form_ev_per_atom=0.226 pbc="T T T"
Cd -0.0098 -0.0205 0.0178
Cd -0.9088 -4.3797 3.7853
Cr -1.3779 -6.6002 5.7047
Li -0.4593 -2.2001 1.9016